DFT (PBE) results for a relaxed Cd2BPt2 crystal.

```
Cd2BPt2
1.0
5.7283 0.0000 0.0000
0.0000 5.7283 0.0000
0.0000 0.0000 5.0408
Pt Cd B
4 4 2
Cartesian
0.9747 1.8895 0.0000 Pt
1.8895 4.7536 0.0000 Pt
4.7536 3.8388 0.0000 Pt
3.8388 0.9747 0.0000 Pt
1.8721 0.9920 2.5204 Cd
4.7362 1.8721 2.5204 Cd
0.9920 3.8562 2.5204 Cd
3.8562 4.7362 2.5204 Cd
0.0000 0.0000 0.0000 B
2.8641 2.8641 0.0000 B
```

## Properties
Formation energy ... -178 meV/atom
Density ... 12.57 g/cm3
Total DFT energy (no corrections) ... -4.30 eV per atom
Size of the total moment ... 0.00 μB per formula unit
Symmetry ... P4/mbm